No. 1
VASP calculation (PBE) on crystalline Mg2BeAgAs at its relaxed geometry.

Geometry as POSCAR:
```
Mg2BeAgAs
1.0
4.939 0.000 0.000
0.000 4.939 0.000
0.000 0.000 4.102
Be As Mg Ag
1 1 2 1
direct
0.000 0.000 0.000
0.000 0.000 0.500
0.000 0.500 0.000
0.500 0.000 0.000
0.500 0.500 0.500
```

Calculated total energy   -2.62 eV per atom
Crystal system   tetragonal
SG   P4/mmm
Formation enthalpy at 0 K   0.27 eV per atom
V   100 Å³ per cell

No. 2
VASP calculation (PBE) on crystalline Na2BeAgAs2 at its relaxed geometry.

Geometry as POSCAR:
```
Na2BeAgAs2
1.0
5.809 0.000 0.000
0.000 5.705 0.000
-2.905 -2.852 7.128
Na Be Ag As
4 2 2 4
direct
0.389 0.177 0.354
0.611 0.823 0.646
0.035 0.323 0.646
0.965 0.677 0.354
0.500 0.750 0.000
0.500 0.250 0.000
0.000 0.750 0.000
0.000 0.250 0.000
0.805 0.107 0.214
0.409 0.607 0.214
0.591 0.393 0.786
0.195 0.893 0.786
```

Calculated total energy   -3.36 eV per atom
Crystal system   orthorhombic
SG   Ibam
Formation enthalpy at 0 K   -0.27 eV per atom
V   236 Å³ per cell

No. 3
VASP calculation (PBE) on crystalline Na2BeAgAs at its relaxed geometry.

Geometry as POSCAR:
```
Na2BeAgAs
1.0
-0.115 -5.143 2.352
2.419 -1.328 -2.786
4.451 1.370 3.211
Na As Ag Be
2 1 1 1
direct
0.000 0.000 0.500
0.500 0.000 0.000
0.000 0.500 0.000
0.500 0.500 0.500
0.000 0.000 0.000
```

Calculated total energy   -2.61 eV per atom
Crystal system   tetragonal
SG   P4/mmm
Formation enthalpy at 0 K   0.16 eV per atom
V   125 Å³ per cell

No. 4
VASP calculation (PBE) on crystalline Be2NiAgAs at its relaxed geometry.

Geometry as POSCAR:
```
Be2NiAgAs
1.0
4.218 0.000 0.000
0.000 4.425 0.000
0.000 0.000 4.218
Ni As Ag Be
1 1 1 2
direct
0.000 0.500 0.000
0.000 0.000 0.000
0.500 0.500 0.500
0.000 0.000 0.500
0.500 0.000 0.000
```

Calculated total energy   -3.52 eV per atom
Crystal system   tetragonal
SG   P4/mmm
Formation enthalpy at 0 K   0.63 eV per atom
V   79 Å³ per cell